Entry from the Alexandria database: a relaxed In6HgTe4 crystal (PBE-GGA).

D(E_F): 3.2 states/eV per cell
uncorrected formation energy: -0.18 eV/atom
crystal system: triclinic

Cell: 6.4414 6.4776 8.8572 Å, 92.17 106.00 96.96°
Closest atoms and distances in Å follow each position.
Element x y z (fractional)
In: 0.0000 0.0000 0.0000  1 Hg 3.09, 1 In 3.23, 2 Te 3.27-3.31
In: 0.0016 0.1754 0.3467  5 Te 3.05-3.31, 1 In 3.23
In: 0.1251 0.7098 0.6619  1 Hg 2.98, 5 Te 3.06-3.30
In: 0.5149 0.6576 0.3516  1 Hg 2.99, 5 Te 3.06-3.29
In: 0.6403 0.1907 0.6676  5 Te 3.05-3.31, 1 In 3.23
In: 0.6448 0.3630 0.0150  1 Hg 3.09, 1 In 3.23, 2 Te 3.27-3.30
Hg: 0.3225 0.6816 0.0062  4 In 2.98-3.09
Te: 0.1517 0.2093 0.7053  6 In 3.05-3.31
Te: 0.4899 0.1572 0.3086  6 In 3.05-3.30
Te: 0.6503 0.7013 0.7125  6 In 3.06-3.31
Te: 0.9909 0.6649 0.3012  6 In 3.06-3.31


Entry from the Alexandria database: a relaxed In2HgTe crystal (PBE-GGA).

D(E_F): 1.4 states/eV per cell
polymorph energy (0 for the lowest one): 0.47 eV per formula unit
uncorrected formation energy: -0.04 eV/atom
crystal system: orthorhombic

Cell: 3.8842 3.8842 7.7385 Å, 90.00 90.00 90.20°
Closest atoms and distances in Å follow each position.
Element x y z (fractional)
In: 0.0000 0.0000 0.0000  4 Hg 3.29-3.30, 4 In 3.49, 1 Te 3.67
In: 0.5000 0.5000 0.2783  4 Te 3.13-3.14, 4 In 3.49
Hg: 0.5000 0.5000 0.7639  4 In 3.29-3.30, 4 Te 3.54-3.55
Te: 0.0000 0.0000 0.4743  4 In 3.13-3.14


Entry from the Alexandria database: a relaxed In7Hg4Te crystal (PBE-GGA).

D(E_F): 4.6 states/eV per cell
uncorrected formation energy: -0.02 eV/atom
crystal system: trigonal

Cell: 4.1935 4.1935 22.9253 Å, 90.00 90.00 120.00°
Closest atoms and distances in Å follow each position.
Element x y z (fractional)
In: 0.0000 0.0000 0.0000  6 Hg 3.07
In: 0.0000 0.0000 0.2502  3 Hg 3.04, 3 In 3.13
In: 0.0000 0.0000 0.7498  3 Hg 3.04, 3 In 3.13
In: 0.3333 0.6667 0.1638  3 Hg 3.06, 3 In 3.13
In: 0.3333 0.6667 0.4147  3 Hg 3.09, 3 Te 3.11
In: 0.6667 0.3333 0.5853  3 Hg 3.09, 3 Te 3.11
In: 0.6667 0.3333 0.8362  3 Hg 3.06, 3 In 3.13
Hg: 0.3333 0.6667 0.6694  6 In 3.04-3.09
Hg: 0.3333 0.6667 0.9175  6 In 3.06-3.07
Hg: 0.6667 0.3333 0.0825  6 In 3.06-3.07
Hg: 0.6667 0.3333 0.3306  6 In 3.04-3.09
Te: 0.0000 0.0000 0.5000  6 In 3.11


Entry from the Alexandria database: a relaxed In2HgTe2 crystal (PBE-GGA).

D(E_F): 1.5 states/eV per cell
polymorph energy (0 for the lowest one): 0.30 eV per formula unit
uncorrected formation energy: -0.14 eV/atom
crystal system: monoclinic

Cell: 9.9006 9.9006 8.4429 Å, 94.36 94.36 25.74°
Closest atoms and distances in Å follow each position.
Element x y z (fractional)
In: 0.1149 0.1149 0.3869  1 Hg 2.82, 3 Te 2.83-2.85
In: 0.3352 0.3352 0.9480  1 Te 3.12, 3 Hg 3.29-3.37
In: 0.6648 0.6648 0.0520  1 Te 3.12, 3 Hg 3.29-3.37
In: 0.8851 0.8851 0.6131  1 Hg 2.82, 3 Te 2.83-2.85
Hg: 0.2499 0.2499 0.2817  1 In 2.82, 2 Te 3.00
Hg: 0.7501 0.7501 0.7183  1 In 2.82, 2 Te 3.00
Te: 0.1450 0.1450 0.7206  1 In 2.83, 2 Hg 3.00
Te: 0.4635 0.4635 0.7450  3 In 2.85-3.12
Te: 0.5365 0.5365 0.2550  3 In 2.85-3.12
Te: 0.8550 0.8550 0.2794  1 In 2.83, 2 Hg 3.00